Material: LiY2Rh2
Method: DFT, SCAN
State: PBEsol geometry

Output
SG = P4/mbm
E_tot = -25.80 eV per atom
M_tot = 0.00 μB per formula unit
E_form = -325 kJ/mol of formula units
ρ = 6.5 g cm⁻³

a = 7.573 Å, b = 7.573 Å, c = 3.499 Å
α = 90.00°, β = 90.00°, γ = 90.00°
Atoms (fractional coordinates):
Li (0.000, 0.000, 0.000)
Li (0.500, 0.500, 0.000)
Y (0.161, 0.339, 0.500)
Y (0.339, 0.839, 0.500)
Y (0.661, 0.161, 0.500)
Y (0.839, 0.661, 0.500)
Rh (0.137, 0.637, 0.000)
Rh (0.363, 0.137, 0.000)
Rh (0.637, 0.863, 0.000)
Rh (0.863, 0.363, 0.000)